Entry 1:
Here is a relaxed SrZnSb crystal from the Alexandria database. Energies are from PBE.

Values from the calculation:
For the volume, the calculation gives 86 Å³/cell. Its space-group type is No. 156. As for the total energy: -2.96 eV per atom. For the excess energy over the best structure of this formula in the dataset, the calculation gives 49.1 meV per atom.

abc: 4.574 4.574 4.740
angles: 90.00 90.00 120.00
Fractional positions:
Sr 0.000 0.000 0.000
Zn 0.667 0.333 0.415
Sb 0.333 0.667 0.525

***

Entry 2:
Here is a relaxed Sc3TiRu4 crystal from the Alexandria database. Energies are from PBE.

Values from the calculation:
For the volume, the calculation gives 128 Å³/cell. The calculation puts the formation energy at -595 meV per atom. Its space-group type is No. 166. As for the total energy: -8.59 eV per atom.

abc: 7.772 7.772 7.772
angles: 33.62 33.62 33.62
Fractional positions:
Sc 0.000 0.000 0.000
Sc 0.250 0.250 0.250
Sc 0.750 0.750 0.750
Ti 0.500 0.500 0.500
Ru 0.128 0.128 0.128
Ru 0.378 0.378 0.378
Ru 0.622 0.622 0.622
Ru 0.872 0.872 0.872

***

Entry 3:
Here is a relaxed Mg2Bi2I crystal from the Alexandria database. Energies are from PBE.

Values from the calculation:
For the volume, the calculation gives 296 Å³/cell. Its space-group type is No. 127. As for the total energy: -2.58 eV per atom. For the excess energy over the best structure of this formula in the dataset, the calculation gives 60.2 meV per atom.

abc: 9.363 9.363 3.371
angles: 90.00 90.00 90.00
Fractional positions:
Mg 0.161 0.339 0.000
Mg 0.339 0.839 0.000
Mg 0.661 0.161 0.000
Mg 0.839 0.661 0.000
Bi 0.133 0.633 0.500
Bi 0.367 0.133 0.500
Bi 0.633 0.867 0.500
Bi 0.867 0.367 0.500
I 0.000 0.000 0.000
I 0.500 0.500 0.000

***

Entry 4:
Here is a relaxed KZrRu crystal from the Alexandria database. Energies are from PBE.

Values from the calculation:
For the volume, the calculation gives 183 Å³/cell. The calculation puts the formation energy at 298 meV per atom. Its space-group type is No. 6. As for the total energy: -6.01 eV per atom. For the excess energy over the best structure of this formula in the dataset, the calculation gives 308.9 meV per atom.

abc: 3.852 6.149 7.743
angles: 90.00 91.62 90.00
Fractional positions:
K 0.000 0.000 0.000
K 0.483 0.500 0.269
Zr 0.507 0.000 0.537
Zr 0.518 0.500 0.740
Ru 0.012 0.260 0.619
Ru 0.012 0.740 0.619

***

Number 2 is which compound? Sc3TiRu4